No. 1
PIrAu2: relaxed, PBE.

It has space group Imm2 (No. 44), with a = 3.5733 Å, b = 4.2222 Å, c = 9.2209 Å, α = 90.00°, β = 90.00° and γ = 90.00°. The distinct sites, in fractional coordinates, are P at (0.0000, 0.0000, 0.0000), Ir at (0.0000, 0.5000, 0.3528), Au at (0.0000, 0.0000, 0.5915) and Au at (0.0000, 0.5000, 0.8017).

The formation energy from the elements is 0.66 eV per formula unit.


No. 2
SrCaTbGeO6: relaxed, PBE.

It has space group F-43m (No. 216), with a = 8.1936 Å, b = 8.1936 Å, c = 8.1936 Å, α = 90.00°, β = 90.00° and γ = 90.00°. The distinct sites, in fractional coordinates, are Sr at (0.0000, 0.0000, 0.0000), Ca at (0.0000, 0.0000, 0.5000), Tb at (0.2500, 0.2500, 0.7500), Ge at (0.2500, 0.2500, 0.2500) and O at (0.0190, 0.2500, 0.2500).

Its energy relative to the elements, uncorrected is -2.448 eV/atom.


No. 3
Y2VCr: relaxed, PBE.

It has space group Fm-3m (No. 225), with a = 7.1709 Å, b = 7.1709 Å, c = 7.1709 Å, α = 90.00°, β = 90.00° and γ = 90.00°. The distinct sites, in fractional coordinates, are Y at (0.2500, 0.2500, 0.2500), V at (0.0000, 0.0000, 0.0000) and Cr at (0.0000, 0.0000, 0.5000).

Its energy above the lowest structure with this stoichiometry is 0.0 meV/atom. The formation energy from the elements is 1.69 eV per formula unit.


No. 4
VZnAs2: relaxed, PBE.

It has space group I-42d (No. 122), with a = 5.7395 Å, b = 5.7395 Å, c = 11.1560 Å, α = 90.00°, β = 90.00° and γ = 90.00°. The distinct sites, in fractional coordinates, are V at (0.0000, 0.0000, 0.0000), Zn at (0.0000, 0.0000, 0.5000) and As at (0.2350, 0.2500, 0.1250).

The formation energy from the elements is 0.13 eV per formula unit.


No. 5
Sm6Pt2SBr3: relaxed, PBE.

It has space group C2/m (No. 12), with a = 7.3355 Å, b = 12.6556 Å, c = 7.7210 Å, α = 90.00°, β = 108.21° and γ = 90.00°. The distinct sites, in fractional coordinates, are Sm at (0.2199, 0.0000, 0.1991), Sm at (0.2403, 0.3272, 0.2010), Pt at (0.0000, 0.1674, 0.0000), S at (0.0000, 0.5000, 0.0000), Br at (0.0000, 0.0000, 0.5000) and Br at (0.0000, 0.3418, 0.5000).

Its energy relative to the elements, uncorrected is -1.331 eV/atom.


No. 6
SbTeOs2: relaxed, PBE.

It has space group I4/mmm (No. 139), with a = 4.5075 Å, b = 4.5075 Å, c = 7.0938 Å, α = 90.00°, β = 90.00° and γ = 90.00°. The distinct sites, in fractional coordinates, are Sb at (0.0000, 0.0000, 0.0000), Te at (0.0000, 0.0000, 0.5000) and Os at (0.0000, 0.5000, 0.2500).

Its energy relative to the elements, uncorrected is 0.827 eV/atom. Its energy above the lowest structure with this stoichiometry is 435.0 meV/atom.


No. 7
InW2Se: relaxed, PBE.

It has space group P4/mmm (No. 123), with a = 3.1327 Å, b = 3.1327 Å, c = 7.0100 Å, α = 90.00°, β = 90.00° and γ = 90.00°. The distinct sites, in fractional coordinates, are In at (0.0000, 0.0000, 0.0000), W at (0.5000, 0.5000, 0.2920) and Se at (0.0000, 0.0000, 0.5000).

Its energy relative to the elements, uncorrected is 0.671 eV/atom. Its energy above the lowest structure with this stoichiometry is 370.2 meV/atom.


No. 8
Y3ZrSe: relaxed, PBE.

It has space group Pm-3m (No. 221), with a = 5.3647 Å, b = 5.3647 Å, c = 5.3647 Å, α = 90.00°, β = 90.00° and γ = 90.00°. The distinct sites, in fractional coordinates, are Y at (0.0000, 0.0000, 0.5000), Zr at (0.5000, 0.5000, 0.5000) and Se at (0.0000, 0.0000, 0.0000).

Its energy relative to the elements, uncorrected is -0.262 eV/atom. Its energy above the lowest structure with this stoichiometry is 0.0 meV/atom.


No. 9
BaNa2Be: relaxed, PBE.

It has space group I-42d (No. 122), with a = 4.6925 Å, b = 4.6925 Å, c = 25.5407 Å, α = 90.00°, β = 90.00° and γ = 90.00°. The distinct sites, in fractional coordinates, are Ba at (0.0000, 0.0000, 0.0000), Na at (0.2089, 0.2500, 0.6250) and Be at (0.0000, 0.0000, 0.5000).

The formation energy from the elements is 2.09 eV per formula unit.


No. 10
In2Pd2Au: relaxed, PBE.

It has space group Immm (No. 71), with a = 3.9290 Å, b = 6.7376 Å, c = 7.2236 Å, α = 90.00°, β = 90.00° and γ = 90.00°. The distinct sites, in fractional coordinates, are In at (0.0000, 0.0000, 0.2104), Pd at (0.0000, 0.2918, 0.5000) and Au at (0.0000, 0.5000, 0.0000).

Its energy above the lowest structure with this stoichiometry is 54.3 meV/atom. The formation energy from the elements is -1.68 eV per formula unit.


No. 11
Nd6In3Pd: relaxed, PBE.

It has space group Pnnm (No. 58), with a = 9.4509 Å, b = 11.9626 Å, c = 5.3750 Å, α = 90.00°, β = 90.00° and γ = 90.00°. The distinct sites, in fractional coordinates, are Nd at (0.0039, 0.2382, 0.0000), Nd at (0.1623, 0.0828, 0.5000), Nd at (0.1751, 0.4134, 0.5000), In at (0.0000, 0.5000, 0.0000), In at (0.1639, 0.7332, 0.5000) and Pd at (0.0000, 0.0000, 0.0000).

The formation energy from the elements is -3.77 eV per formula unit.


No. 12
Sm5Y: relaxed, PBE.

It has space group Cmmm (No. 65), with a = 5.1150 Å, b = 15.3606 Å, c = 5.1198 Å, α = 90.00°, β = 90.00° and γ = 90.00°. The distinct sites, in fractional coordinates, are Sm at (0.0000, 0.0000, 0.0000), Sm at (0.0000, 0.1664, 0.5000), Sm at (0.0000, 0.3332, 0.0000) and Y at (0.0000, 0.5000, 0.5000).

The formation energy from the elements is 0.09 eV per formula unit.


no.,DOS at the Fermi energy (states/eV/cell),V (Å³/f.u.)
1,2.37,69.6
2,22.42,137.5
3,11.94,92.2
4,12.18,91.9
5,20.82,340.4
6,6.46,72.1
7,3.94,68.8
8,7.63,154.4
9,10.96,140.6
10,3.31,95.6
11,21.39,303.8
12,17.16,201.1